Entry from the Alexandria database: a relaxed CaH2OF crystal (PBE).

Calculated values
- density (Mg/m³) = 1.9
- E (eV/cell) = -23.8
- relative energy among the computed polymorphs (meV/atom) = 51.8
- DOS at the Fermi energy (states/eV/cell) = 1.0

Cell lengths 4.6984, 4.1125, 4.1125 Å; angles 57.94, 90.00, 90.00 degrees
With the nearest neighbours (Å) after each atom.
Sites, in units of the cell vectors:
Ca (0.0000, 0.0000, 0.0000)  3 F 2.34-2.38, 2 O 2.53
H (0.5000, 0.5825, 0.9814)  1 O 1.01
H (0.5000, 0.9814, 0.5825)  1 O 1.01
O (0.5000, 0.8697, 0.8697)  2 H 1.01
F (0.0000, 0.3301, 0.3301)  3 Ca 2.34-2.38